# 1
Computed, not measured: a crystal of UCr4C4 relaxed with PBEsol at the meta-GGA SCAN level of DFT.

Cell lengths 2.968, 5.755, 5.755 Å; angles 86.19, 75.06, 75.06 degrees
Fractional positions:
C1 0.267 0.329 0.137
C2 0.404 0.863 0.329
C3 0.596 0.137 0.671
C4 0.733 0.671 0.863
Cr1 0.823 0.812 0.542
Cr2 0.177 0.188 0.458
Cr3 0.365 0.458 0.812
Cr4 0.635 0.542 0.188
U1 0.000 0.000 0.000

Total moment ... 0.006 μB per cell
E_form ... -132 meV per atom

***

# 2
Computed, not measured: a crystal of K3SnIr relaxed with PBEsol at the meta-GGA SCAN level of DFT.

Cell lengths 6.533, 6.533, 6.533 Å; angles 90.00, 90.00, 90.00 degrees
Each line ends with the local moment (μB).
Fractional positions:
Ir1 0.500 0.500 0.500  1.94
K1 0.000 0.500 0.000  0.03
K2 0.000 0.000 0.500  0.03
K3 0.500 0.000 0.000  0.03
Sn1 0.000 0.000 0.000  0.65

Total moment ... 4.006 μB per cell
E_form ... 1101 meV per atom

***

# 3
Computed, not measured: a crystal of K4CoMo4O15 relaxed with PBEsol at the meta-GGA SCAN level of DFT.

Cell lengths 8.086, 10.231, 10.231 Å; angles 120.00, 90.00, 90.00 degrees
Each line ends with the local moment (μB).
Fractional positions:
Co1 0.472 0.333 0.667  2.63
Co2 0.528 0.667 0.333  2.63
O1 0.654 0.848 0.359  0.04
O2 0.789 0.782 0.785  0.00
O3 0.654 0.641 0.489  0.04
O4 0.350 0.665 0.186  0.03
O5 0.350 0.521 0.335  0.03
O6 0.563 0.739 0.006  0.01
O7 0.437 0.006 0.267  0.01
O8 0.346 0.359 0.511  0.04
O9 0.058 0.520 0.174  0.00
O10 0.211 0.785 0.003  0.00
O11 0.058 0.654 0.480  0.00
O12 0.789 0.215 0.997  0.00
O13 0.942 0.346 0.520  0.00
O14 0.942 0.480 0.826  0.00
O15 0.346 0.152 0.641  0.04
O16 0.563 0.994 0.733  0.01
O17 0.789 0.003 0.218  0.00
O18 0.211 0.218 0.215  0.00
O19 0.437 0.261 0.994  0.01
O20 0.650 0.186 0.521  0.03
O21 0.346 0.489 0.848  0.04
O22 0.437 0.733 0.739  0.01
O23 0.650 0.479 0.665  0.03
O24 0.654 0.511 0.152  0.04
O25 0.650 0.335 0.814  0.03
O26 0.563 0.267 0.261  0.01
O27 0.211 0.997 0.782  0.00
O28 0.058 0.826 0.346  0.00
O29 0.942 0.174 0.654  0.00
O30 0.350 0.814 0.479  0.03
Mo1 0.632 0.661 0.672  0.02
Mo2 0.632 0.012 0.339  0.02
Mo3 0.849 0.333 0.667  0.00
Mo4 0.368 0.339 0.328  0.02
Mo5 0.632 0.328 0.988  0.02
Mo6 0.368 0.988 0.661  0.02
Mo7 0.151 0.667 0.333  0.00
Mo8 0.368 0.672 0.012  0.02
K1 0.862 0.399 0.304  0.00
K2 0.862 0.696 0.096  0.00
K3 0.862 0.904 0.601  0.00
K4 0.138 0.304 0.904  0.00
K5 0.138 0.601 0.696  0.00
K6 0.000 0.000 0.000  0.00
K7 0.138 0.096 0.399  0.00
K8 0.500 0.000 0.000  0.00

Formation energy from raw total energies ... -2.16 eV per atom
Total moment ... 6.000 μB per cell

***

# 4
Computed, not measured: a crystal of La5Be relaxed with PBEsol at the meta-GGA SCAN level of DFT.

Cell lengths 3.660, 6.346, 8.747 Å; angles 110.61, 90.00, 106.76 degrees
Fractional positions:
La1 0.335 0.671 0.084
La2 0.311 0.623 0.659
La3 0.973 0.945 0.445
La4 0.633 0.266 0.229
La5 0.609 0.219 0.805
Be1 0.972 0.944 0.944

Total moment ... 0.000 μB per cell
E_form ... 78 meV per atom